Entry 1:
VASP calculation (PBE) on crystalline CaTeBr2 at its relaxed geometry.

Lattice parameters (Å, degrees): 9.8601 9.8601 9.8601 24.16 24.16 24.16
Closest atoms and distances in Å follow each position.
Atoms (fractional coordinates):
Ca1 0.5029 0.5029 0.5029  3 Br 2.86
Br1 0.2246 0.2246 0.2246  3 Ca 2.86
Br2 0.0143 0.0143 0.0143  3 Te 3.25
Te1 0.7582 0.7582 0.7582  3 Br 3.25, 3 Ca 3.27

Calculated values
Space group: R3m (160)
Formation energy without anion corrections: -77.91 kJ/mol of atoms

---

Entry 2:
VASP calculation (PBE) on crystalline CaTeBr2 at its relaxed geometry.

Lattice parameters (Å, degrees): 4.9513 4.9513 4.6493 90.00 90.00 90.00
Closest atoms and distances in Å follow each position.
Atoms (fractional coordinates):
Br1 0.5000 0.5000 0.0000  4 Ca 3.40, 4 Te 3.40, 4 Br 3.50
Br2 0.0000 0.0000 0.0000  4 Te 3.40, 4 Ca 3.40, 4 Br 3.50
Te1 0.0000 0.5000 0.5000  8 Br 3.40, 4 Ca 3.50
Ca1 0.5000 0.0000 0.5000  8 Br 3.40, 4 Te 3.50

Calculated values
Space group: P4/mmm (123)
Formation energy without anion corrections: -76.99 kJ/mol of atoms

---

Entry 3:
VASP calculation (PBE) on crystalline CaTeBr6 at its relaxed geometry.

Lattice parameters (Å, degrees): 7.0425 7.0425 7.5716 62.27 62.26 59.98
Closest atoms and distances in Å follow each position.
Atoms (fractional coordinates):
Br1 0.0691 0.4081 0.7561  1 Te 2.74, 1 Ca 2.95
Br2 0.2333 0.9307 0.2439  1 Te 2.74, 1 Ca 2.95
Br3 0.4082 0.7667 0.7559  1 Te 2.74, 1 Ca 2.95
Br4 0.9309 0.5919 0.2439  1 Te 2.74, 1 Ca 2.95
Br5 0.5918 0.2333 0.2441  1 Te 2.74, 1 Ca 2.95
Br6 0.7667 0.0693 0.7561  1 Te 2.74, 1 Ca 2.95
Ca1 0.5000 0.5000 0.5000  6 Br 2.95
Te1 0.0000 0.0000 0.0000  6 Br 2.74

Calculated values
Space group: R-3 (148)
Formation energy without anion corrections: -88.21 kJ/mol of atoms

---

Entry 4:
VASP calculation (PBE) on crystalline CaTeBr2 at its relaxed geometry.

Lattice parameters (Å, degrees): 11.3401 11.3401 11.3401 20.85 20.85 20.85
Closest atoms and distances in Å follow each position.
Atoms (fractional coordinates):
Br1 0.9215 0.9215 0.9215  1 Ca 2.61
Br2 0.0785 0.0785 0.0785  1 Ca 2.61
Te1 0.5000 0.5000 0.5000  6 Br 3.77, 6 Te 4.10
Ca1 0.0000 0.0000 0.0000  2 Br 2.61

Calculated values
Space group: R-3m (166)
Formation energy without anion corrections: -27.64 kJ/mol of atoms